# 1
VASP calculation (meta-GGA SCAN) on a PBEsol-optimized structure of BeOsN2F.

```
data_BeOsN2F
_space_group_name_H-M_alt 'P 1'
_space_group_IT_number 1
_cell_length_a 2.915
_cell_length_b 3.749
_cell_length_c 3.749
_cell_angle_alpha 90.00
_cell_angle_beta 90.00
_cell_angle_gamma 90.00
loop_
_space_group_symop_operation_xyz
'x,y,z'
loop_
_atom_site_label
_atom_site_type_symbol
_atom_site_fract_x
_atom_site_fract_y
_atom_site_fract_z
Be1 Be 0.000 0.000 0.000
N1 N 0.000 0.000 0.500
N2 N 0.000 0.500 0.000
Os1 Os 0.500 0.500 0.500
F1 F 0.500 0.000 0.000
```

Results
Volume ... 41.0 Å³ per cell
Formation energy from raw total energies ... 0.5887 eV/atom



# 2
VASP calculation (meta-GGA SCAN) on a PBEsol-optimized structure of BaLa2Rh.

```
data_BaLa2Rh
_space_group_name_H-M_alt 'P 1'
_space_group_IT_number 1
_cell_length_a 4.143
_cell_length_b 4.143
_cell_length_c 10.289
_cell_angle_alpha 78.39
_cell_angle_beta 78.39
_cell_angle_gamma 60.00
loop_
_space_group_symop_operation_xyz
'x,y,z'
loop_
_atom_site_label
_atom_site_type_symbol
_atom_site_fract_x
_atom_site_fract_y
_atom_site_fract_z
Rh1 Rh 0.500 0.500 0.500
Ba1 Ba 0.000 0.000 0.000
La1 La 0.217 0.217 0.349
La2 La 0.783 0.783 0.651
```

Results
Volume ... 148.7 Å³ per cell
ΔH_f (0 K) ... -0.456 eV per atom



# 3
VASP calculation (meta-GGA SCAN) on a PBEsol-optimized structure of BaHgMo2.

```
data_BaHgMo2
_space_group_name_H-M_alt 'P 1'
_space_group_IT_number 1
_cell_length_a 3.077
_cell_length_b 3.077
_cell_length_c 10.017
_cell_angle_alpha 90.00
_cell_angle_beta 90.00
_cell_angle_gamma 114.38
loop_
_space_group_symop_operation_xyz
'x,y,z'
loop_
_atom_site_label
_atom_site_type_symbol
_atom_site_fract_x
_atom_site_fract_y
_atom_site_fract_z
Ba1 Ba 0.000 0.000 0.512
Hg1 Hg 0.500 0.500 0.214
Mo1 Mo 0.000 0.000 0.976
Mo2 Mo 0.500 0.500 0.799
```

Results
Volume ... 86.4 Å³ per cell
ΔH_f (0 K) ... 0.658 eV per atom



# 4
VASP calculation (meta-GGA SCAN) on a PBEsol-optimized structure of Li3MgO.

```
data_Li3MgO
_space_group_name_H-M_alt 'P 1'
_space_group_IT_number 1
_cell_length_a 4.069
_cell_length_b 4.069
_cell_length_c 4.069
_cell_angle_alpha 90.00
_cell_angle_beta 90.00
_cell_angle_gamma 90.00
loop_
_space_group_symop_operation_xyz
'x,y,z'
loop_
_atom_site_label
_atom_site_type_symbol
_atom_site_fract_x
_atom_site_fract_y
_atom_site_fract_z
Mg1 Mg 0.500 0.500 0.500
O1 O 0.000 0.000 0.000
Li1 Li 0.000 0.500 0.000
Li2 Li 0.000 0.000 0.500
Li3 Li 0.500 0.000 0.000
```

Results
Volume ... 67.4 Å³ per cell
Formation energy from raw total energies ... -0.8241 eV/atom



# 5
VASP calculation (meta-GGA SCAN) on a PBEsol-optimized structure of BaBr2Cl.

```
data_BaBr2Cl
_space_group_name_H-M_alt 'P 1'
_space_group_IT_number 1
_cell_length_a 5.449
_cell_length_b 5.449
_cell_length_c 5.449
_cell_angle_alpha 60.00
_cell_angle_beta 60.00
_cell_angle_gamma 60.00
loop_
_space_group_symop_operation_xyz
'x,y,z'
loop_
_atom_site_label
_atom_site_type_symbol
_atom_site_fract_x
_atom_site_fract_y
_atom_site_fract_z
Ba1 Ba 0.500 0.500 0.500
Br1 Br 0.000 0.000 0.000
Br2 Br 0.750 0.750 0.750
Cl1 Cl 0.250 0.250 0.250
```

Results
Volume ... 114.4 Å³ per cell
Formation energy from raw total energies ... -1.6706 eV/atom



# 6
VASP calculation (meta-GGA SCAN) on a PBEsol-optimized structure of ZrCoOs2.

```
data_ZrCoOs2
_space_group_name_H-M_alt 'P 1'
_space_group_IT_number 1
_cell_length_a 2.994
_cell_length_b 4.415
_cell_length_c 4.441
_cell_angle_alpha 90.00
_cell_angle_beta 90.00
_cell_angle_gamma 90.00
loop_
_space_group_symop_operation_xyz
'x,y,z'
loop_
_atom_site_label
_atom_site_type_symbol
_atom_site_fract_x
_atom_site_fract_y
_atom_site_fract_z
Co1 Co 0.000 0.500 0.500
Os1 Os 0.000 0.000 0.000
Os2 Os 0.500 0.000 0.500
Zr1 Zr 0.500 0.500 0.000
```

Results
Volume ... 58.7 Å³ per cell
ΔH_f (0 K) ... 0.006 eV per atom
Relative energy among the computed polymorphs ... 0.00 eV per formula unit



# 7
VASP calculation (meta-GGA SCAN) on a PBEsol-optimized structure of ScTc2Se.

```
data_ScTc2Se
_space_group_name_H-M_alt 'P 1'
_space_group_IT_number 1
_cell_length_a 3.021
_cell_length_b 4.034
_cell_length_c 5.090
_cell_angle_alpha 90.00
_cell_angle_beta 90.00
_cell_angle_gamma 90.00
loop_
_space_group_symop_operation_xyz
'x,y,z'
loop_
_atom_site_label
_atom_site_type_symbol
_atom_site_fract_x
_atom_site_fract_y
_atom_site_fract_z
Sc1 Sc 0.000 0.000 0.512
Se1 Se 0.500 0.500 0.742
Tc1 Tc 0.000 0.000 0.022
Tc2 Tc 0.500 0.500 0.223
```

Results
Volume ... 62.0 Å³ per cell
Formation energy from raw total energies ... -0.1754 eV/atom



# 8
VASP calculation (meta-GGA SCAN) on a PBEsol-optimized structure of Zr2MnPt.

```
data_Zr2MnPt
_space_group_name_H-M_alt 'P 1'
_space_group_IT_number 1
_cell_length_a 3.224
_cell_length_b 3.224
_cell_length_c 6.445
_cell_angle_alpha 90.00
_cell_angle_beta 90.00
_cell_angle_gamma 90.00
loop_
_space_group_symop_operation_xyz
'x,y,z'
loop_
_atom_site_label
_atom_site_type_symbol
_atom_site_fract_x
_atom_site_fract_y
_atom_site_fract_z
Mn1 Mn 0.500 0.500 0.500
Zr1 Zr 0.000 0.000 0.264
Zr2 Zr 0.000 0.000 0.736
Pt1 Pt 0.500 0.500 0.000
```

Results
Volume ... 67.0 Å³ per cell
ΔH_f (0 K) ... -0.701 eV per atom
Relative energy among the computed polymorphs ... 0.00 eV per formula unit



What did the eighth record say?
VASP calculation (meta-GGA SCAN) on a PBEsol-optimized structure of Zr2MnPt.

```
data_Zr2MnPt
_space_group_name_H-M_alt 'P 1'
_space_group_IT_number 1
_cell_length_a 3.224
_cell_length_b 3.224
_cell_length_c 6.445
_cell_angle_alpha 90.00
_cell_angle_beta 90.00
_cell_angle_gamma 90.00
loop_
_space_group_symop_operation_xyz
'x,y,z'
loop_
_atom_site_label
_atom_site_type_symbol
_atom_site_fract_x
_atom_site_fract_y
_atom_site_fract_z
Mn1 Mn 0.500 0.500 0.500
Zr1 Zr 0.000 0.000 0.264
Zr2 Zr 0.000 0.000 0.736
Pt1 Pt 0.500 0.500 0.000
```

Results
Volume ... 67.0 Å³ per cell
ΔH_f (0 K) ... -0.701 eV per atom
Relative energy among the computed polymorphs ... 0.00 eV per formula unit



> Number 2 is which compound?

BaLa2Rh



> Which value of volume does entry 8 give?

67.0 Å³ per cell



Repeat the second record exactly.
VASP calculation (meta-GGA SCAN) on a PBEsol-optimized structure of BaLa2Rh.

```
data_BaLa2Rh
_space_group_name_H-M_alt 'P 1'
_space_group_IT_number 1
_cell_length_a 4.143
_cell_length_b 4.143
_cell_length_c 10.289
_cell_angle_alpha 78.39
_cell_angle_beta 78.39
_cell_angle_gamma 60.00
loop_
_space_group_symop_operation_xyz
'x,y,z'
loop_
_atom_site_label
_atom_site_type_symbol
_atom_site_fract_x
_atom_site_fract_y
_atom_site_fract_z
Rh1 Rh 0.500 0.500 0.500
Ba1 Ba 0.000 0.000 0.000
La1 La 0.217 0.217 0.349
La2 La 0.783 0.783 0.651
```

Results
Volume ... 148.7 Å³ per cell
ΔH_f (0 K) ... -0.456 eV per atom